No. 1
NaHoMoO5 after structural relaxation. Source: Alexandria, functional PBE+U.

Summary:
* E: -6.97 eV/atom
* ρ: 4.52 g/cm3

a = 7.3746 Å, b = 9.8447 Å, c = 7.9658 Å
α = 90.00°, β = 112.39°, γ = 90.00°
Space group C2/c (No. 15)
Asymmetric unit:
Na  0.0000  0.1950  0.2500
Ho  0.0000  0.5000  0.0000
Mo  0.0000  0.1788  0.7500
O  0.0000  0.4199  0.2500
O  0.1140  0.2871  0.6361
O  0.1759  0.0715  0.9148

No. 2
NaHoMo2O8 after structural relaxation. Source: Alexandria, functional PBE+U.

Summary:
* E: -7.10 eV/atom
* ρ: 4.70 g/cm3

a = 7.4029 Å, b = 7.4029 Å, c = 6.5448 Å
α = 90.00°, β = 90.00°, γ = 90.00°
Space group I-4m2 (No. 119)
Asymmetric unit:
Na  0.0000  0.0000  0.0000
Ho  0.0000  0.5000  0.2500
Mo  0.0000  0.0000  0.5000
Mo  0.0000  0.5000  0.7500
O  0.0000  0.1977  0.3411
O  0.0000  0.3161  0.9293